1.
Here is crystalline HoOsPb2O8 at its relaxed geometry from Alexandria via LeMat-Bulk. Energies are from PBE.

It has space group P2/m (No. 10), with a = 5.0862 Å, b = 6.7536 Å, c = 5.0864 Å, α = 90.00°, β = 90.48° and γ = 90.00°. The distinct sites, in fractional coordinates, are Ho at (0.0000, 0.0000, 0.0000), Os at (0.0000, 0.5000, 0.0000), Pb at (0.5000, 0.2520, 0.5000), O at (0.1835, 0.2824, 0.1791), O at (0.2556, 0.5000, 0.7385) and O at (0.3043, 0.0000, 0.6917).

The crystal system is monoclinic. The formation energy (no corrections) comes out at -1.443 eV per atom.

***

2.
Here is crystalline Ca5Zn6 at its relaxed geometry from Alexandria via LeMat-Bulk. Energies are from PBE.

It has space group Cmmm (No. 65), with a = 4.4743 Å, b = 30.9688 Å, c = 4.0207 Å, α = 90.00°, β = 90.00° and γ = 90.00°. The distinct sites, in fractional coordinates, are Ca at (0.0000, 0.0000, 0.0000), Ca at (0.0000, 0.1948, 0.5000), Ca at (0.0000, 0.3821, 0.0000), Zn at (0.0000, 0.0857, 0.5000), Zn at (0.0000, 0.2737, 0.0000) and Zn at (0.0000, 0.4588, 0.5000).

The crystal system is orthorhombic. The calculation puts the energy of formation from the pure elements at -0.254 eV per atom.

***

3.
Here is crystalline La2AlSi4Rh3 at its relaxed geometry from Alexandria via LeMat-Bulk. Energies are from PBE.

It has space group P-4m2 (No. 115), with a = 4.2092 Å, b = 4.2092 Å, c = 10.2249 Å, α = 90.00°, β = 90.00° and γ = 90.00°. The distinct sites, in fractional coordinates, are La at (0.0000, 0.5000, 0.2417), Al at (0.0000, 0.0000, 0.5000), Si at (0.0000, 0.0000, 0.0000), Si at (0.0000, 0.5000, 0.6423), Si at (0.5000, 0.5000, 0.0000), Rh at (0.0000, 0.5000, 0.8806) and Rh at (0.5000, 0.5000, 0.5000).

The crystal system is tetragonal. The formation energy (no corrections) comes out at -0.925 eV per atom.